Computed, not measured: a geometry-optimized BaZnW2 structure at the PBE-GGA level of DFT.

a = 6.055 Å, b = 6.055 Å, c = 2.902 Å
α = 101.15°, β = 101.15°, γ = 122.93°
Atoms (fractional coordinates):
Ba (0.000, 0.000, 0.000)
Zn (0.500, 0.500, 0.000)
W (0.000, 0.500, 0.500)
W (0.500, 0.000, 0.500)

Properties
ρ: 11.6 g/cm3
symmetry: C2/m
calculated total energy: -23.86 eV for the cell shown
V: 81.7 Å³ per cell